Record 1
A relaxed structure of NbCoIrOs, computed with PBE.

Cell lengths 3.8238, 3.8439, 3.8809 Å; angles 90.00, 90.00, 90.00 degrees
Last column: nearest neighbours and their distance in Å.
Space group Pmmm (No. 47)
One atom of each set of equivalent atoms:
Nb 0.0000 0.0000 0.0000 [1 per cell]  4 Os 2.71, 4 Ir 2.72, 4 Co 2.73
Co 0.0000 0.5000 0.5000 [1 per cell]  4 Ir 2.71, 4 Os 2.72, 4 Nb 2.73
Ir 0.5000 0.0000 0.5000 [1 per cell]  4 Co 2.71, 4 Nb 2.72, 4 Os 2.73
Os 0.5000 0.5000 0.0000 [1 per cell]  4 Nb 2.71, 4 Co 2.72, 4 Ir 2.73

Values from the calculation:
M_tot: 0.0 Bohr magnetons per cell
density of states at the Fermi level: 3.49 states/eV per cell
ΔH_f (0 K): -0.27 eV per atom

Record 2
A relaxed structure of Nb2CoPIr, computed with PBE.

Cell lengths 4.5887, 4.5887, 3.9955 Å; angles 90.00, 90.00, 90.00 degrees
Last column: nearest neighbours and their distance in Å.
Space group P4/mmm (No. 123)
One atom of each set of equivalent atoms:
Nb 0.0000 0.5000 0.0000 [2 per cell]  2 P 2.29
Co 0.0000 0.0000 0.5000 [1 per cell]  2 P 2.00
P 0.0000 0.0000 0.0000 [1 per cell]  2 Co 2.00
Ir 0.5000 0.5000 0.5000 [1 per cell]  8 Nb 3.04, 4 Co 3.24

Values from the calculation:
M_tot: 0.9 Bohr magnetons per cell
density of states at the Fermi level: 2.59 states/eV per cell
ΔH_f (0 K): 0.21 eV per atom

Record 3
A relaxed structure of NbCoIrPb2, computed with PBE.

Cell lengths 5.4837, 5.4837, 4.7501 Å; angles 90.00, 90.00, 90.00 degrees
Last column: nearest neighbours and their distance in Å.
Space group P4/mmm (No. 123)
One atom of each set of equivalent atoms:
Nb 0.0000 0.0000 0.0000 [1 per cell]  2 Ir 2.38
Co 0.5000 0.5000 0.5000 [1 per cell]  8 Pb 3.63, 4 Ir 3.88
Ir 0.0000 0.0000 0.5000 [1 per cell]  2 Nb 2.38
Pb 0.0000 0.5000 0.0000 [2 per cell]  2 Nb 2.74

Values from the calculation:
M_tot: 2.3 Bohr magnetons per cell
density of states at the Fermi level: 4.84 states/eV per cell
ΔH_f (0 K): 1.39 eV per atom